(1)
This record from Alexandria via LeMat-Bulk describes crystalline CdAsCl at its relaxed geometry. The functional is GGA-PBEsol.

Calculated values
**Energy relative to the elements, uncorrected**: 114 meV per atom
**Space group**: P3m1 (156)
**Size of the total moment**: 0.0006 μB per atom

a = 3.232 Å, b = 4.687 Å, c = 4.687 Å
α = 120.00°, β = 90.00°, γ = 90.00°
Fractional positions:
Cl 0.363 0.667 0.333
As 0.916 0.000 0.000
Cd 0.721 0.333 0.667

=====

(2)
This record from Alexandria via LeMat-Bulk describes crystalline YTe2PbI at its relaxed geometry. The functional is GGA-PBEsol.

Calculated values
**Energy relative to the elements, uncorrected**: -454 meV per atom
**Space group**: P4/mmm (123)
**Size of the total moment**: 0.0000 μB per atom

a = 5.688 Å, b = 5.818 Å, c = 5.818 Å
α = 90.00°, β = 90.00°, γ = 90.00°
Fractional positions:
Te 0.000 0.000 0.500
Y 0.000 0.000 0.000
I 0.500 0.000 0.000
Te 0.000 0.500 0.000
Pb 0.500 0.500 0.500

=====

(3)
This record from Alexandria via LeMat-Bulk describes crystalline YPIr2 at its relaxed geometry. The functional is GGA-PBEsol.

Calculated values
**Energy of formation**: -0.4202 eV per atom
**Space group**: Imm2 (44)
**Size of the total moment**: 0.0000 μB per atom

a = 3.219 Å, b = 4.571 Å, c = 5.229 Å
α = 115.92°, β = 107.93°, γ = 90.00°
Fractional positions:
Y 0.770 0.270 0.540
P 0.528 0.528 0.055
Ir 0.216 0.716 0.431
Ir 0.987 0.987 0.974

=====

What is the formula in the first record? CdAsCl